[1]
! PBE-GGA Au2I2Br, optimized geometry; values from VASP
! Offset from the most stable computed form: 0.00 kJ per mole of atoms
! Total energy: -2.28 eV/atom
! Space group: C2/c, No. 15
&SYSTEM
  ibrav = 0, nat = 10, ntyp = 3
/
ATOMIC_SPECIES
I 126.90 I.upf
Br 79.90 Br.upf
Au 196.97 Au.upf
ATOMIC_POSITIONS crystal
I 0.267 0.366 0.238
I 0.733 0.634 0.762
I 0.871 0.134 0.262
I 0.129 0.866 0.738
Br 0.395 0.250 0.750
Br 0.605 0.750 0.250
Au 0.452 0.562 0.846
Au 0.548 0.438 0.154
Au 0.140 0.062 0.346
Au 0.860 0.938 0.654
CELL_PARAMETERS angstrom
7.214 0.000 2.966
4.764 6.763 -1.331
-0.247 -6.138 10.857

***

[2]
! PBE-GGA Au5I3Br12, optimized geometry; values from VASP
! Total energy: -1.91 eV/atom
! Space group: Ia-3d, No. 230
&SYSTEM
  ibrav = 0, nat = 80, ntyp = 3
/
ATOMIC_SPECIES
Au 196.97 Au.upf
Br 79.90 Br.upf
I 126.90 I.upf
ATOMIC_POSITIONS crystal
Au 0.625 0.750 0.875
Au 0.375 0.125 0.750
Au 0.500 0.000 0.000
Au 0.750 0.625 0.375
Au 0.500 0.500 0.500
Au 0.125 0.750 0.375
Au 0.250 0.875 0.125
Au 0.750 0.125 0.875
Au 0.000 0.500 0.000
Au 0.250 0.375 0.625
Au 0.500 0.500 0.000
Au 0.375 0.250 0.125
Au 0.125 0.375 0.250
Au 0.000 0.000 0.500
Au 0.000 0.000 0.000
Au 0.875 0.250 0.625
Au 0.000 0.500 0.500
Au 0.500 0.000 0.500
Au 0.625 0.875 0.250
Au 0.875 0.625 0.750
Br 0.830 0.867 0.000
Br 0.000 0.368 0.330
Br 0.670 0.538 0.170
Br 0.000 0.633 0.170
Br 0.462 0.330 0.330
Br 0.500 0.330 0.867
Br 0.330 0.868 0.000
Br 0.538 0.868 0.367
Br 0.867 0.038 0.868
Br 0.462 0.132 0.633
Br 0.632 0.000 0.170
Br 0.962 0.133 0.632
Br 0.500 0.670 0.133
Br 0.538 0.670 0.670
Br 0.670 0.132 0.000
Br 0.868 0.538 0.867
Br 0.830 0.500 0.368
Br 0.330 0.830 0.462
Br 0.133 0.170 0.500
Br 0.868 0.330 0.500
Br 0.170 0.500 0.632
Br 0.132 0.670 0.500
Br 0.000 0.367 0.830
Br 0.000 0.632 0.670
Br 0.038 0.867 0.368
Br 0.330 0.500 0.367
Br 0.368 0.000 0.830
Br 0.500 0.170 0.132
Br 0.633 0.000 0.670
Br 0.133 0.962 0.132
Br 0.670 0.500 0.633
Br 0.670 0.170 0.538
Br 0.962 0.830 0.830
Br 0.367 0.000 0.330
Br 0.830 0.330 0.962
Br 0.830 0.962 0.330
Br 0.330 0.462 0.830
Br 0.632 0.633 0.962
Br 0.170 0.670 0.038
Br 0.038 0.170 0.170
Br 0.368 0.367 0.038
Br 0.170 0.038 0.670
Br 0.367 0.368 0.538
Br 0.500 0.830 0.868
Br 0.170 0.133 0.000
Br 0.633 0.632 0.462
Br 0.132 0.462 0.133
Br 0.867 0.830 0.500
I 0.875 0.750 0.125
I 0.750 0.375 0.125
I 0.375 0.625 0.250
I 0.750 0.875 0.625
I 0.625 0.250 0.375
I 0.250 0.625 0.875
I 0.875 0.125 0.250
I 0.125 0.250 0.875
I 0.375 0.750 0.625
I 0.250 0.125 0.375
I 0.125 0.875 0.750
I 0.625 0.375 0.750
CELL_PARAMETERS angstrom
-1.949 -11.424 10.259
2.274 -6.034 -14.070
12.295 8.499 4.018

***

[3]
! PBE-GGA AuI3Br, optimized geometry; values from VASP
! Offset from the most stable computed form: 23.59 kJ per mole of atoms
! Total energy: -1.63 eV/atom
! Space group: Pm-3m, No. 221
&SYSTEM
  ibrav = 0, nat = 5, ntyp = 3
/
ATOMIC_SPECIES
I 126.90 I.upf
Au 196.97 Au.upf
Br 79.90 Br.upf
ATOMIC_POSITIONS crystal
I 0.500 0.000 0.000
I 0.000 0.000 0.500
I 0.000 0.500 0.000
Au 0.000 0.000 0.000
Br 0.500 0.500 0.500
CELL_PARAMETERS angstrom
5.651 0.000 0.000
0.000 5.651 0.000
0.000 0.000 5.651

***

[4]
! PBE-GGA AuIBr4, optimized geometry; values from VASP
! Offset from the most stable computed form: 0.00 kJ per mole of atoms
! Total energy: -2.01 eV/atom
! Space group: P2_1/c, No. 14
&SYSTEM
  ibrav = 0, nat = 12, ntyp = 3
/
ATOMIC_SPECIES
Br 79.90 Br.upf
Au 196.97 Au.upf
I 126.90 I.upf
ATOMIC_POSITIONS crystal
Br 0.838 0.123 0.165
Br 0.213 0.743 0.113
Br 0.162 0.877 0.835
Br 0.662 0.623 0.665
Br 0.787 0.257 0.887
Br 0.287 0.243 0.613
Br 0.713 0.757 0.387
Br 0.338 0.377 0.335
Au 0.500 0.500 0.500
Au 0.000 0.000 0.000
I 0.500 0.500 0.000
I 0.000 0.000 0.500
CELL_PARAMETERS angstrom
-2.859 3.220 4.147
0.496 -4.836 4.096
11.204 4.420 4.292

***

[5]
! PBE-GGA AuI4Br, optimized geometry; values from VASP
! Offset from the most stable computed form: 0.00 kJ per mole of atoms
! Total energy: -1.86 eV/atom
! Space group: P-1, No. 2
&SYSTEM
  ibrav = 0, nat = 12, ntyp = 3
/
ATOMIC_SPECIES
Br 79.90 Br.upf
I 126.90 I.upf
Au 196.97 Au.upf
ATOMIC_POSITIONS crystal
Br 0.500 0.000 0.000
Br 0.000 0.500 0.500
I 0.799 0.716 0.758
I 0.201 0.284 0.242
I 0.230 0.131 0.809
I 0.148 0.648 0.010
I 0.770 0.869 0.191
I 0.852 0.352 0.990
I 0.873 0.177 0.570
I 0.127 0.823 0.430
Au 0.022 0.913 0.794
Au 0.978 0.087 0.206
CELL_PARAMETERS angstrom
5.790 -0.635 0.098
1.933 8.615 3.600
0.676 3.501 14.263

***

[6]
! PBE-GGA Au2I4Br3, optimized geometry; values from VASP
! Total energy: -2.01 eV/atom
! Space group: C2/c, No. 15
&SYSTEM
  ibrav = 0, nat = 18, ntyp = 3
/
ATOMIC_SPECIES
I 126.90 I.upf
Br 79.90 Br.upf
Au 196.97 Au.upf
ATOMIC_POSITIONS crystal
I 0.016 0.700 0.049
I 0.676 0.380 0.193
I 0.824 0.807 0.620
I 0.484 0.951 0.300
I 0.176 0.193 0.380
I 0.516 0.049 0.700
I 0.324 0.620 0.807
I 0.984 0.300 0.951
Br 0.405 0.777 0.053
Br 0.250 0.561 0.439
Br 0.595 0.223 0.947
Br 0.905 0.053 0.777
Br 0.095 0.947 0.223
Br 0.750 0.439 0.561
Au 0.603 0.211 0.448
Au 0.397 0.789 0.552
Au 0.103 0.448 0.211
Au 0.897 0.552 0.789
CELL_PARAMETERS angstrom
-3.574 -4.564 9.880
-0.562 -7.349 -4.820
8.332 -2.810 0.493